(1)
Density functional theory data (GGA-PBE) for crystalline CdAsAu2 at its relaxed geometry.

```
CdAsAu2
1.0
2.026 1.170 6.121
-2.026 1.170 6.121
0.000 -2.339 6.121
Cd As Au
1 1 2
Direct
0.000 0.000 0.000 Cd
0.172 0.172 0.172 As
0.422 0.422 0.422 Au
0.579 0.579 0.579 Au
```

For the formation energy, the calculation gives 0.43 eV/f.u. For the energy above the lowest structure with this stoichiometry, the calculation gives 99.7 meV/atom. As for the space group: R3m.

---

(2)
Density functional theory data (GGA-PBE) for crystalline Pm4Ho3Rh4 at its relaxed geometry.

```
Pm4Ho3Rh4
1.0
-1.834 4.494 8.205
1.834 -4.494 8.205
1.834 4.494 -8.205
Pm Ho Rh
4 3 4
Direct
0.023 0.836 0.186 Pm
0.350 0.164 0.186 Pm
0.650 0.836 0.814 Pm
0.977 0.164 0.814 Pm
0.000 0.500 0.500 Ho
0.401 0.401 0.000 Ho
0.599 0.599 0.000 Ho
0.262 0.762 0.500 Rh
0.283 0.000 0.283 Rh
0.717 0.000 0.717 Rh
0.738 0.238 0.500 Rh
```

For the formation energy, the calculation gives -5.99 eV/f.u. As for the space group: Immm.

---

(3)
Density functional theory data (GGA-PBE) for crystalline La2TiOs at its relaxed geometry.

```
La2TiOs
1.0
-5.238 5.238 2.404
5.238 -5.238 2.404
5.238 5.238 -2.404
La Ti Os
4 2 2
Direct
0.375 0.222 0.347 La
0.778 0.125 0.153 La
0.875 0.028 0.653 La
0.972 0.625 0.847 La
0.250 0.750 0.500 Ti
0.500 0.500 0.000 Ti
0.000 0.000 0.000 Os
0.750 0.250 0.500 Os
```

For the formation energy, the calculation gives 1.27 eV/f.u. As for the space group: I-42d.

---

(4)
Density functional theory data (GGA-PBE) for crystalline MnAlCoMo at its relaxed geometry.

```
MnAlCoMo
1.0
0.000 2.940 2.940
2.940 0.000 2.940
2.940 2.940 0.000
Mn Al Co Mo
1 1 1 1
Direct
0.000 0.000 0.000 Mn
0.250 0.250 0.250 Al
0.500 0.500 0.500 Co
0.750 0.750 0.750 Mo
```

For the formation energy, the calculation gives -0.73 eV/f.u. As for the space group: F-43m.

---

(5)
Density functional theory data (GGA-PBE) for crystalline CsVRe2H at its relaxed geometry.

```
CsVRe2H
1.0
4.611 0.000 0.000
0.000 4.611 0.000
0.000 0.000 5.586
Cs V Re H
1 1 2 1
Direct
0.000 0.000 0.000 Cs
0.500 0.500 0.500 V
0.000 0.500 0.500 Re
0.500 0.000 0.500 Re
0.500 0.500 0.000 H
```

The calculation puts the energy at -5.784 eV/atom. As for the space group: P4/mmm.

---

(6)
Density functional theory data (GGA-PBE) for crystalline Nd3Cd2BRh3 at its relaxed geometry.

```
Nd3Cd2BRh3
1.0
7.817 0.000 0.000
-3.908 6.770 0.000
0.000 0.000 3.578
Nd Cd B Rh
3 2 1 3
Direct
0.000 0.350 0.000 Nd
0.350 0.000 0.000 Nd
0.650 0.650 0.000 Nd
0.333 0.667 0.500 Cd
0.667 0.333 0.500 Cd
0.000 0.000 0.000 B
0.000 0.796 0.500 Rh
0.204 0.204 0.500 Rh
0.796 0.000 0.500 Rh
```

For the formation energy, the calculation gives -3.20 eV/f.u. As for the space group: P-62m.